1.
# BaIn4Au4

A geometry-optimized BaIn4Au4 structure (PBE, OQMD via LeMat-Bulk).

a = 6.973 Å, b = 6.973 Å, c = 9.387 Å
α = 90.00°, β = 90.00°, γ = 90.00°
Positions (direct):
Au1 0.202 0.500 0.172
Au2 0.798 0.500 0.172
Au3 0.298 0.000 0.328
Au4 0.702 0.000 0.328
Au5 0.000 0.298 0.672
Au6 0.000 0.702 0.672
Au7 0.500 0.202 0.828
Au8 0.500 0.798 0.828
Ba1 0.000 0.000 0.000
Ba2 0.500 0.500 0.500
In1 0.500 0.238 0.125
In2 0.500 0.762 0.125
In3 0.000 0.262 0.375
In4 0.000 0.738 0.375
In5 0.262 0.000 0.625
In6 0.738 0.000 0.625
In7 0.238 0.500 0.875
In8 0.762 0.500 0.875

Calculated values
crystal system: tetragonal
calculated total energy: -29.68 eV/f.u.
calculated volume: 456.4 Å³/cell



2.
# NaNbSO

A geometry-optimized NaNbSO structure (PBE, OQMD via LeMat-Bulk).

a = 6.844 Å, b = 8.680 Å, c = 4.704 Å
α = 90.00°, β = 90.00°, γ = 90.00°
Positions (direct):
Na1 0.397 0.094 0.063
Na2 0.897 0.906 0.063
Na3 0.103 0.094 0.563
Na4 0.603 0.906 0.563
Nb1 0.905 0.318 0.062
Nb2 0.405 0.682 0.062
Nb3 0.595 0.318 0.562
Nb4 0.095 0.682 0.562
O1 0.060 0.142 0.063
O2 0.560 0.858 0.063
O3 0.440 0.142 0.563
O4 0.940 0.858 0.563
S1 0.545 0.405 0.062
S2 0.045 0.595 0.062
S3 0.955 0.405 0.562
S4 0.455 0.595 0.562

Calculated values
crystal system: orthorhombic
calculated total energy: -26.04 eV/f.u.
calculated volume: 279.4 Å³/cell



Number 1: mass density 10.073 g/cm³. Number 2: mass density 3.898 g/cm³.